# 1
# Ti3MoSe | the Alexandria database | PBE | relaxed
data_Ti3MoSe
_chemical_formula_sum 'Ti3 Mo1 Se1'
_cell_length_a 4.5900
_cell_length_b 4.5900
_cell_length_c 4.5900
_cell_angle_alpha 90.00
_cell_angle_beta 90.00
_cell_angle_gamma 90.00
_space_group_name_H-M_alt 'P m -3 m'
_space_group_IT_number 221
_space_group_name_Hall '-P 4 2 3'
loop_
_atom_site_label
_atom_site_fract_x
_atom_site_fract_y
_atom_site_fract_z
Ti1 0.0000 0.0000 0.5000
Mo1 0.5000 0.5000 0.5000
Se1 0.0000 0.0000 0.0000
# N(E_F)	1.25	states/eV per atom
# electronic total energy	-7.2121	eV per atom
# energy relative to the lowest polymorph listed for this composition	0.747	eV/atom
# M_tot	0.001	μB per cell

---

# 2
# TiMo2Se | the Alexandria database | PBE | relaxed
data_TiMo2Se
_chemical_formula_sum 'Ti4 Mo8 Se4'
_cell_length_a 3.7055
_cell_length_b 3.7055
_cell_length_c 19.8532
_cell_angle_alpha 90.00
_cell_angle_beta 90.00
_cell_angle_gamma 90.00
_space_group_name_H-M_alt 'I -4 2 d'
_space_group_IT_number 122
_space_group_name_Hall 'I -4 2bw'
loop_
_atom_site_label
_atom_site_fract_x
_atom_site_fract_y
_atom_site_fract_z
Ti1 0.0000 0.0000 0.0000
Mo1 0.2467 0.2500 0.6250
Se1 0.0000 0.0000 0.5000
# N(E_F)	0.87	states/eV per atom
# electronic total energy	-8.0462	eV per atom
# M_tot	0.000	μB per cell

---

# 3
# TiMoSe2 | the Alexandria database | PBE | relaxed
data_TiMoSe2
_chemical_formula_sum 'Ti3 Mo3 Se6'
_cell_length_a 3.1705
_cell_length_b 3.1705
_cell_length_c 25.5074
_cell_angle_alpha 90.00
_cell_angle_beta 90.00
_cell_angle_gamma 120.00
_space_group_name_H-M_alt 'R -3 m'
_space_group_IT_number 166
_space_group_name_Hall '-R 3 2"'
loop_
_atom_site_label
_atom_site_fract_x
_atom_site_fract_y
_atom_site_fract_z
Ti1 0.0000 0.0000 0.0000
Mo1 0.0000 0.0000 0.5000
Se1 0.0000 0.0000 0.4021
# N(E_F)	0.69	states/eV per atom
# electronic total energy	-6.6063	eV per atom
# energy relative to the lowest polymorph listed for this composition	0.163	eV/atom
# M_tot	0.000	μB per cell

---

# 4
# TiMoSe3 | the Alexandria database | PBE | relaxed
data_TiMoSe3
_chemical_formula_sum 'Ti8 Mo8 Se24'
_cell_length_a 12.6460
_cell_length_b 11.8117
_cell_length_c 6.1604
_cell_angle_alpha 90.00
_cell_angle_beta 116.91
_cell_angle_gamma 90.00
_space_group_name_H-M_alt 'C 1 2/c 1'
_space_group_IT_number 15
_space_group_name_Hall '-C 2yc'
loop_
_atom_site_label
_atom_site_fract_x
_atom_site_fract_y
_atom_site_fract_z
Ti1 0.1023 0.0921 0.0559
Mo1 0.0000 0.2752 0.7500
Mo2 0.0000 0.4547 0.2500
Se1 0.1259 0.1136 0.6747
Se2 0.1258 0.2846 0.2116
Se3 0.1466 0.4156 0.7091
# N(E_F)	0.51	states/eV per atom
# electronic total energy	-6.4840	eV per atom
# energy relative to the lowest polymorph listed for this composition	0.000	eV/atom
# M_tot	0.000	μB per cell

---

# 5
# Ti3MoSe | the Alexandria database | PBE | relaxed
data_Ti3MoSe
_chemical_formula_sum 'Ti3 Mo1 Se1'
_cell_length_a 4.7597
_cell_length_b 4.7597
_cell_length_c 4.7597
_cell_angle_alpha 90.00
_cell_angle_beta 90.00
_cell_angle_gamma 90.00
_space_group_name_H-M_alt 'P m -3 m'
_space_group_IT_number 221
_space_group_name_Hall '-P 4 2 3'
loop_
_atom_site_label
_atom_site_fract_x
_atom_site_fract_y
_atom_site_fract_z
Ti1 0.0000 0.0000 0.5000
Mo1 0.0000 0.0000 0.0000
Se1 0.5000 0.5000 0.5000
# N(E_F)	1.40	states/eV per atom
# electronic total energy	-6.9158	eV per atom
# energy relative to the lowest polymorph listed for this composition	1.043	eV/atom
# M_tot	2.055	μB per cell

---

# 6
# TiMo2Se4 | the Alexandria database | PBE | relaxed
data_TiMo2Se4
_chemical_formula_sum 'Ti2 Mo4 Se8'
_cell_length_a 5.1001
_cell_length_b 5.1001
_cell_length_c 12.3646
_cell_angle_alpha 90.00
_cell_angle_beta 90.00
_cell_angle_gamma 90.00
_space_group_name_H-M_alt 'I 4/m m m'
_space_group_IT_number 139
_space_group_name_Hall '-I 4 2'
loop_
_atom_site_label
_atom_site_fract_x
_atom_site_fract_y
_atom_site_fract_z
Ti1 0.0000 0.0000 0.0000
Mo1 0.0000 0.0000 0.4074
Se1 0.0000 0.0000 0.2003
Se2 0.0000 0.5000 0.0000
# N(E_F)	0.93	states/eV per atom
# electronic total energy	-6.0572	eV per atom
# M_tot	3.433	μB per cell

---

# 7
# TiMoSe2 | the Alexandria database | PBE | relaxed
data_TiMoSe2
_chemical_formula_sum 'Ti4 Mo4 Se8'
_cell_length_a 4.8576
_cell_length_b 4.8576
_cell_length_c 14.4393
_cell_angle_alpha 90.00
_cell_angle_beta 90.00
_cell_angle_gamma 90.00
_space_group_name_H-M_alt 'I -4 2 d'
_space_group_IT_number 122
_space_group_name_Hall 'I -4 2bw'
loop_
_atom_site_label
_atom_site_fract_x
_atom_site_fract_y
_atom_site_fract_z
Ti1 0.0000 0.0000 0.0000
Mo1 0.0000 0.0000 0.5000
Se1 0.2448 0.2500 0.6250
# N(E_F)	0.88	states/eV per atom
# electronic total energy	-6.5304	eV per atom
# energy relative to the lowest polymorph listed for this composition	0.239	eV/atom
# M_tot	2.943	μB per cell

---

# 8
# TiMoSe2 | the Alexandria database | PBE | relaxed
data_TiMoSe2
_chemical_formula_sum 'Ti4 Mo4 Se8'
_cell_length_a 6.3745
_cell_length_b 6.3745
_cell_length_c 6.3745
_cell_angle_alpha 90.00
_cell_angle_beta 90.00
_cell_angle_gamma 90.00
_space_group_name_H-M_alt 'F m -3 m'
_space_group_IT_number 225
_space_group_name_Hall '-F 4 2 3'
loop_
_atom_site_label
_atom_site_fract_x
_atom_site_fract_y
_atom_site_fract_z
Ti1 0.0000 0.0000 0.0000
Mo1 0.0000 0.0000 0.5000
Se1 0.2500 0.2500 0.2500
# N(E_F)	0.59	states/eV per atom
# electronic total energy	-6.7696	eV per atom
# energy relative to the lowest polymorph listed for this composition	0.000	eV/atom
# M_tot	7.929	μB per cell

---

# 9
# Ti3MoSe | the Alexandria database | PBE | relaxed
data_Ti3MoSe
_chemical_formula_sum 'Ti12 Mo4 Se4'
_cell_length_a 9.9145
_cell_length_b 4.7867
_cell_length_c 8.0501
_cell_angle_alpha 90.00
_cell_angle_beta 112.18
_cell_angle_gamma 90.00
_space_group_name_H-M_alt 'C 1 2/m 1'
_space_group_IT_number 12
_space_group_name_Hall '-C 2y'
loop_
_atom_site_label
_atom_site_fract_x
_atom_site_fract_y
_atom_site_fract_z
Ti1 0.0800 0.0000 0.3463
Ti2 0.1374 0.5000 0.7679
Ti3 0.1416 0.5000 0.1343
Mo1 0.1239 0.0000 0.9613
Se1 0.1396 0.5000 0.4458
# N(E_F)	0.90	states/eV per atom
# electronic total energy	-7.9588	eV per atom
# energy relative to the lowest polymorph listed for this composition	0.000	eV/atom
# M_tot	0.001	μB per cell

---

# 10
# TiTlMoSe2 | the Alexandria database | PBE | relaxed
data_TiTlMoSe2
_chemical_formula_sum 'Ti1 Tl1 Mo1 Se2'
_cell_length_a 4.8401
_cell_length_b 4.8401
_cell_length_c 5.4834
_cell_angle_alpha 90.00
_cell_angle_beta 90.00
_cell_angle_gamma 90.00
_space_group_name_H-M_alt 'P 4/m m m'
_space_group_IT_number 123
_space_group_name_Hall '-P 4 2'
loop_
_atom_site_label
_atom_site_fract_x
_atom_site_fract_y
_atom_site_fract_z
Ti1 0.0000 0.0000 0.0000
Tl1 0.5000 0.5000 0.0000
Mo1 0.5000 0.5000 0.5000
Se1 0.0000 0.5000 0.5000
# N(E_F)	1.51	states/eV per atom
# electronic total energy	-4.9259	eV per atom
# M_tot	0.250	μB per cell

---

# 11
# TlMo2Se | the Alexandria database | PBE | relaxed
data_TlMo2Se
_chemical_formula_sum 'Tl4 Mo8 Se4'
_cell_length_a 6.5375
_cell_length_b 6.5375
_cell_length_c 6.5375
_cell_angle_alpha 90.00
_cell_angle_beta 90.00
_cell_angle_gamma 90.00
_space_group_name_H-M_alt 'F m -3 m'
_space_group_IT_number 225
_space_group_name_Hall '-F 4 2 3'
loop_
_atom_site_label
_atom_site_fract_x
_atom_site_fract_y
_atom_site_fract_z
Tl1 0.0000 0.0000 0.0000
Mo1 0.2500 0.2500 0.2500
Se1 0.0000 0.0000 0.5000
# N(E_F)	1.45	states/eV per atom
# electronic total energy	-6.1690	eV per atom
# energy relative to the lowest polymorph listed for this composition	0.514	eV/atom
# M_tot	0.000	μB per cell

---

# 12
# TlMo2Se | the Alexandria database | PBE | relaxed
data_TlMo2Se
_chemical_formula_sum 'Tl4 Mo8 Se4'
_cell_length_a 4.2191
_cell_length_b 4.2191
_cell_length_c 18.7443
_cell_angle_alpha 90.00
_cell_angle_beta 90.00
_cell_angle_gamma 90.00
_space_group_name_H-M_alt 'I -4 2 d'
_space_group_IT_number 122
_space_group_name_Hall 'I -4 2bw'
loop_
_atom_site_label
_atom_site_fract_x
_atom_site_fract_y
_atom_site_fract_z
Tl1 0.0000 0.0000 0.0000
Mo1 0.1685 0.2500 0.6250
Se1 0.0000 0.0000 0.5000
# N(E_F)	0.99	states/eV per atom
# electronic total energy	-6.1869	eV per atom
# energy relative to the lowest polymorph listed for this composition	0.496	eV/atom
# M_tot	0.000	μB per cell